A relaxed structure of CaZr2In. Source: Alexandria via LeMat-Bulk, functional GGA-PBE.

Values from the calculation:
Energy of formation in eV/atom: 0.142
Fermi-level density of states in states/eV/cell: 7.2

Cell lengths 11.303, 11.303, 11.303 Å; angles 16.57, 16.57, 16.57 degrees
Fractional coordinates of all 4 atoms:
Ca: 0.000 0.000 0.000
Zr: 0.244 0.244 0.244
Zr: 0.756 0.756 0.756
In: 0.500 0.500 0.500



A relaxed structure of Dy2Cu3Pd2. Source: Alexandria via LeMat-Bulk, functional GGA-PBE.

Values from the calculation:
Energy of formation in eV/atom: -0.516
Fermi-level density of states in states/eV/cell: 3.0

Cell lengths 5.276, 5.276, 6.420 Å; angles 108.73, 108.73, 48.42 degrees
Fractional coordinates of all 7 atoms:
Dy: 0.147 0.147 0.254
Dy: 0.853 0.853 0.746
Cu: 0.394 0.394 0.074
Cu: 0.500 0.500 0.500
Cu: 0.606 0.606 0.926
Pd: 0.141 0.141 0.708
Pd: 0.859 0.859 0.292



A relaxed structure of Ta2TiOs3. Source: Alexandria via LeMat-Bulk, functional GGA-PBE.

Values from the calculation:
Energy of formation in eV/atom: -0.407
Fermi-level density of states in states/eV/cell: 4.4
ΔE to the lowest computed polymorph in meV/atom: 4

Cell lengths 3.083, 3.083, 9.924 Å; angles 90.00, 90.00, 90.00 degrees
Fractional coordinates of all 6 atoms:
Ta: 0.000 0.000 0.173
Ta: 0.000 0.000 0.827
Ti: 0.000 0.000 0.500
Os: 0.500 0.500 0.000
Os: 0.500 0.500 0.344
Os: 0.500 0.500 0.656



Looking at magnetic moment for the records above, in order, we have 0.0 0.0 0.0 μB/f.u..